Record 1
A geometry-optimized K3CuF8 structure. Source: Alexandria, functional PBE-GGA.

POSCAR file:
```
K3CuF8
1.0
5.9057 0.0000 0.0000
0.0000 5.9057 0.0000
-2.9528 -2.9528 5.7019
K F Cu
3 8 1
Cartesian
0.0000 2.9528 2.8509
2.9528 2.9528 0.0000
2.9528 0.0000 2.8509
4.7000 1.2057 1.1996
1.2057 4.7000 1.1996
-1.7472 -1.7472 4.5022
1.2057 1.2057 1.1996
-1.7472 1.7472 4.5022
1.7472 1.7472 4.5022
4.7000 4.7000 1.1996
1.7472 -1.7472 4.5022
0.0000 0.0000 0.0000
```

Results
Raw formation energy = -1.740 eV per atom
Energy relative to the lowest polymorph listed for this composition = 138 meV/atom
V = 16.57 Å³ per atom
Density of states at the Fermi level = 9.11 states/eV per cell

---

Record 2
A geometry-optimized KCuF2 structure. Source: Alexandria, functional PBE-GGA.

POSCAR file:
```
KCuF2
1.0
5.0787 1.0083 4.7066
4.2146 -2.4171 5.0355
6.4084 -1.3816 2.4465
F K Cu
2 1 1
Cartesian
13.8354 -2.4588 10.7398
1.8664 -0.3317 1.4488
0.0000 0.0000 0.0000
7.8509 -1.3953 6.0943
```

Results
Raw formation energy = -1.400 eV per atom
Energy relative to the lowest polymorph listed for this composition = 542 meV/atom
V = 18.24 Å³ per atom
Density of states at the Fermi level = 2.30 states/eV per cell

---

Record 3
A geometry-optimized K3Cu2F8 structure. Source: Alexandria, functional PBE-GGA.

POSCAR file:
```
K3Cu2F8
1.0
5.8609 0.0000 0.0000
2.9304 5.0757 0.0000
2.9304 1.6919 7.4035
F K Cu
8 3 2
Cartesian
8.7913 5.0757 7.0206
5.8609 1.6808 2.2604
5.8609 5.0867 5.1431
7.3356 2.5323 5.1431
4.3861 2.5323 5.1431
2.9304 1.6919 0.3829
4.3861 4.2352 2.2604
7.3356 4.2352 2.2604
8.7913 5.0757 4.4406
0.0000 0.0000 0.0000
2.9304 1.6919 2.9629
5.8609 3.3838 5.9057
5.8609 3.3838 1.4978
```

Results
Raw formation energy = -2.013 eV per atom
V = 16.94 Å³ per atom
Density of states at the Fermi level = 12.60 states/eV per cell

---

Record 4
A geometry-optimized K3CuF7 structure. Source: Alexandria, functional PBE-GGA.

POSCAR file:
```
K3CuF7
1.0
-1.8396 2.7331 -4.7601
-6.7670 1.6144 3.5421
2.9997 6.6899 2.6818
F K Cu
14 6 2
Cartesian
-0.9198 1.3665 -2.3801
-0.3727 7.1603 2.5911
-4.2642 2.4360 1.3825
0.8787 4.7142 2.3671
-1.3427 8.6013 0.0813
-1.7731 1.6441 1.6292
-2.8034 5.5187 0.7319
-5.5160 7.6470 1.1462
-4.6459 3.5900 3.8568
-5.2341 3.8770 -1.1273
-1.9942 6.6601 4.5947
-4.5460 6.2060 3.6560
-1.0608 4.8313 -2.1922
-0.0909 3.3903 0.3175
-0.1058 6.2232 0.0939
-5.5011 4.8141 1.3699
-3.0816 7.9396 2.2294
-2.5253 3.0977 -0.7656
-1.8836 4.1521 3.1119
0.0000 0.0000 0.0000
1.4999 3.3449 1.3409
-3.3835 0.8072 1.7711
```

Results
Raw formation energy = -2.115 eV per atom
V = 16.04 Å³ per atom
Density of states at the Fermi level = 24.34 states/eV per cell

---

no.,calculated density (Mg/m³)
1,2.779
2,3.202
3,2.989
4,2.954